# LaSnAu PBE relaxed
data_LaSnAu
_chemical_formula_sum 'La4 Sn4 Au4'
_space_group_name_H-M_alt 'C 1 m 1'
_space_group_IT_number 8
_cell_length_a 11.2190
_cell_length_b 4.4707
_cell_length_c 7.3199
_cell_angle_alpha 90.00
_cell_angle_beta 100.45
_cell_angle_gamma 90.00
loop_
_space_group_symop_operation_xyz
'x,y,z'
'x,-y,z'
'x+1/2,y+1/2,z'
'x+1/2,-y+1/2,z'
loop_
_atom_site_label
_atom_site_fract_x
_atom_site_fract_y
_atom_site_fract_z
La1 0.0000 0.0000 0.0000
La2 0.1762 0.5000 0.6267
Sn1 0.2651 0.0000 0.3354
Sn2 0.4458 0.5000 0.5195
Au1 0.2028 0.5000 0.0498
Au2 0.4988 0.0000 0.2683
# - DFT total energy: -0.3373 Ry/atom
# - Density of states at the Fermi level: 0.81 states/eV/f.u.
# - Density: 8.36 g/cm3
# - Calculated formation energy: -1.6 eV/f.u.